Entry 1:
PuTl3Sn2S6 | PBE | relaxed

Output
Magnetization, μB/f.u.: 3.20
Formation energy from raw total energies, meV per atom: -652

abc: 7.152 7.152 7.670
angles: 98.82 98.82 119.73
Sites, in units of the cell vectors:
Pu: 0.000 0.000 0.000
Tl: 0.170 0.830 0.500
Tl: 0.500 0.500 0.500
Tl: 0.830 0.170 0.500
Sn: 0.333 0.667 0.000
Sn: 0.667 0.333 0.000
S: 0.065 0.378 0.197
S: 0.244 0.244 0.796
S: 0.378 0.065 0.197
S: 0.622 0.935 0.803
S: 0.756 0.756 0.204
S: 0.935 0.622 0.803

---

Entry 2:
PuTl2SnS4 | PBE | relaxed

Output
Magnetization, μB/f.u.: 4.09
Formation energy from raw total energies, meV per atom: -794

abc: 7.218 4.088 7.690
angles: 90.00 107.62 90.00
Sites, in units of the cell vectors:
Pu: 0.000 0.000 0.000
Tl: 0.000 0.500 0.500
Tl: 0.500 0.000 0.500
Sn: 0.500 0.500 0.000
S: 0.221 0.500 0.196
S: 0.249 0.000 0.799
S: 0.751 0.000 0.201
S: 0.779 0.500 0.804

---

Entry 3:
Pu2Tl3SnS6 | PBE | relaxed

Output
Magnetization, μB/f.u.: 9.00
Formation energy from raw total energies, meV per atom: -957

abc: 7.117 7.117 7.752
angles: 98.73 98.73 119.83
Sites, in units of the cell vectors:
Pu: 0.167 0.833 0.000
Pu: 0.833 0.167 0.000
Tl: 0.000 0.000 0.500
Tl: 0.338 0.662 0.500
Tl: 0.662 0.338 0.500
Sn: 0.500 0.500 0.000
S: 0.081 0.433 0.800
S: 0.212 0.212 0.194
S: 0.433 0.081 0.800
S: 0.567 0.919 0.200
S: 0.788 0.788 0.806
S: 0.919 0.567 0.200

---

Entry 4:
Pu3Tl3SnS8 | PBE | relaxed

Output
Magnetization, μB/f.u.: 4.67
Formation energy from raw total energies, meV per atom: -1012

abc: 8.147 8.147 8.791
angles: 117.59 117.59 59.84
Sites, in units of the cell vectors:
Pu: 0.000 0.000 0.000
Pu: 0.000 0.500 0.000
Pu: 0.500 0.000 0.000
Tl: 0.000 0.500 0.500
Tl: 0.500 0.000 0.500
Tl: 0.500 0.500 0.500
Sn: 0.500 0.500 0.000
S: 0.232 0.731 0.191
S: 0.233 0.233 0.196
S: 0.269 0.768 0.809
S: 0.270 0.270 0.810
S: 0.730 0.730 0.190
S: 0.731 0.232 0.191
S: 0.767 0.767 0.804
S: 0.768 0.269 0.809

---

Entry 5:
SrPuS2 | PBE | relaxed

Output
Magnetization, μB/f.u.: 5.99
Formation energy from raw total energies, meV per atom: -1784

abc: 7.488 7.488 7.488
angles: 31.32 31.32 31.32
Sites, in units of the cell vectors:
Sr: 0.000 0.000 0.000
Pu: 0.828 0.828 0.828
S: 0.240 0.240 0.240
S: 0.420 0.420 0.420

---

Entry 6:
SrPuS3 | PBE | relaxed

Output
Magnetization, μB/f.u.: 0.14
Formation energy from raw total energies, meV per atom: -1575

abc: 9.141 9.141 7.063
angles: 95.99 95.99 83.04
Sites, in units of the cell vectors:
Sr: 0.119 0.327 0.291
Sr: 0.327 0.119 0.791
Sr: 0.673 0.881 0.209
Sr: 0.881 0.673 0.709
Pu: 0.240 0.760 0.250
Pu: 0.417 0.583 0.750
Pu: 0.583 0.417 0.250
Pu: 0.760 0.240 0.750
S: 0.029 0.238 0.892
S: 0.162 0.616 0.537
S: 0.238 0.029 0.392
S: 0.316 0.475 0.053
S: 0.384 0.838 0.963
S: 0.475 0.316 0.553
S: 0.525 0.684 0.447
S: 0.616 0.162 0.037
S: 0.684 0.525 0.947
S: 0.762 0.971 0.608
S: 0.838 0.384 0.463
S: 0.971 0.762 0.108

---

Entry 7:
SrPu4S8 | PBE | relaxed

Output
Magnetization, μB/f.u.: 18.00
Formation energy from raw total energies, meV per atom: -1627

abc: 8.032 8.032 9.811
angles: 127.03 127.03 60.18
Sites, in units of the cell vectors:
Sr: 0.000 0.000 0.000
Pu: 0.254 0.746 0.500
Pu: 0.271 0.271 0.540
Pu: 0.729 0.729 0.460
Pu: 0.746 0.254 0.500
S: 0.001 0.001 0.315
S: 0.002 0.463 0.299
S: 0.463 0.002 0.299
S: 0.475 0.475 0.293
S: 0.525 0.525 0.707
S: 0.537 0.998 0.701
S: 0.998 0.537 0.701
S: 0.999 0.999 0.685

---

Entry 8:
SrPuS2 | PBE | relaxed

Output
Magnetization, μB/f.u.: 5.86
Formation energy from raw total energies, meV per atom: -1880

abc: 7.200 7.200 7.200
angles: 33.15 33.15 33.15
Sites, in units of the cell vectors:
Sr: 0.000 0.000 0.000
Pu: 0.500 0.500 0.500
S: 0.244 0.244 0.244
S: 0.756 0.756 0.756

---

Entry 9:
SrPuS3 | PBE | relaxed

Output
Magnetization, μB/f.u.: 4.00
Formation energy from raw total energies, meV per atom: -1694

abc: 7.675 4.103 15.413
angles: 90.00 90.00 90.00
Sites, in units of the cell vectors:
Sr: 0.123 0.250 0.204
Sr: 0.377 0.750 0.704
Sr: 0.623 0.250 0.296
Sr: 0.877 0.750 0.796
Pu: 0.220 0.750 0.458
Pu: 0.280 0.250 0.958
Pu: 0.720 0.750 0.042
Pu: 0.780 0.250 0.542
S: 0.009 0.250 0.404
S: 0.137 0.750 0.047
S: 0.165 0.250 0.794
S: 0.335 0.750 0.294
S: 0.363 0.250 0.547
S: 0.491 0.750 0.904
S: 0.509 0.250 0.096
S: 0.637 0.750 0.453
S: 0.665 0.250 0.706
S: 0.835 0.750 0.206
S: 0.863 0.250 0.953
S: 0.991 0.750 0.596

---

Entry 10:
SrPu5S6 | PBE | relaxed

Output
Magnetization, μB/f.u.: 28.64
Formation energy from raw total energies, meV per atom: -1783

abc: 6.955 6.955 6.966
angles: 99.58 99.58 119.98
Sites, in units of the cell vectors:
Sr: 0.000 0.000 0.000
Pu: 0.164 0.836 0.500
Pu: 0.333 0.667 0.000
Pu: 0.500 0.500 0.500
Pu: 0.667 0.333 0.000
Pu: 0.836 0.164 0.500
S: 0.086 0.430 0.258
S: 0.260 0.260 0.745
S: 0.430 0.086 0.258
S: 0.570 0.914 0.742
S: 0.740 0.740 0.255
S: 0.914 0.570 0.742

---

Entry 11:
Sr2PuTl3S6 | PBE | relaxed

Output
Magnetization, μB/f.u.: 3.00
Formation energy from raw total energies, meV per atom: -1202

abc: 7.328 7.328 7.710
angles: 98.99 98.99 119.73
Sites, in units of the cell vectors:
Sr: 0.166 0.834 0.000
Sr: 0.834 0.166 0.000
Pu: 0.500 0.500 0.000
Tl: 0.000 0.000 0.500
Tl: 0.335 0.665 0.500
Tl: 0.665 0.335 0.500
S: 0.137 0.432 0.797
S: 0.273 0.273 0.215
S: 0.432 0.137 0.797
S: 0.568 0.863 0.203
S: 0.727 0.727 0.785
S: 0.863 0.568 0.203

---

Entry 12:
Sr2TmPuS4 | PBE | relaxed

Output
Magnetization, μB/f.u.: 5.91
Formation energy from raw total energies, meV per atom: -1945

abc: 7.025 4.049 7.159
angles: 90.00 109.12 90.00
Sites, in units of the cell vectors:
Sr: 0.000 0.000 0.000
Sr: 0.500 0.500 0.000
Tm: 0.000 0.500 0.500
Pu: 0.500 0.000 0.500
S: 0.235 0.000 0.727
S: 0.251 0.500 0.271
S: 0.749 0.500 0.729
S: 0.765 0.000 0.273

---

Entry 13:
SrPu2US8 | PBE | relaxed

Output
Magnetization, μB/f.u.: 8.00
Formation energy from raw total energies, meV per atom: -1310

abc: 6.198 8.277 6.381
angles: 90.00 90.00 90.00
Sites, in units of the cell vectors:
Sr: 0.000 0.000 0.000
Pu: 0.500 0.252 0.500
Pu: 0.500 0.748 0.500
U: 0.000 0.500 0.000
S: 0.233 0.283 0.837
S: 0.233 0.717 0.837
S: 0.273 0.500 0.326
S: 0.278 0.000 0.374
S: 0.722 0.000 0.626
S: 0.727 0.500 0.674
S: 0.767 0.283 0.163
S: 0.767 0.717 0.163

---

Entry 14:
Sr2PuUS6 | PBE | relaxed

Output
Magnetization, μB/f.u.: 6.00
Formation energy from raw total energies, meV per atom: -1726

abc: 6.971 7.452 12.309
angles: 90.00 124.41 90.00
Sites, in units of the cell vectors:
Sr: 0.222 0.078 0.249
Sr: 0.222 0.422 0.749
Sr: 0.778 0.578 0.251
Sr: 0.778 0.922 0.751
Pu: 0.000 0.000 0.500
Pu: 0.000 0.500 0.000
U: 0.500 0.000 0.000
U: 0.500 0.500 0.500
S: 0.139 0.192 0.942
S: 0.139 0.308 0.442
S: 0.250 0.702 0.938
S: 0.250 0.798 0.438
S: 0.368 0.038 0.755
S: 0.368 0.462 0.255
S: 0.632 0.538 0.745
S: 0.632 0.962 0.245
S: 0.750 0.202 0.562
S: 0.750 0.298 0.062
S: 0.861 0.692 0.558
S: 0.861 0.808 0.058

---

Entry 15:
SrYPu2S4 | PBE | relaxed

Output
Magnetization, μB/f.u.: 11.62
Formation energy from raw total energies, meV per atom: -1874

abc: 6.968 4.013 6.990
angles: 90.00 109.30 90.00
Sites, in units of the cell vectors:
Sr: 0.000 0.000 0.000
Y: 0.000 0.500 0.500
Pu: 0.500 0.000 0.500
Pu: 0.500 0.500 0.000
S: 0.252 0.000 0.742
S: 0.259 0.500 0.263
S: 0.741 0.500 0.737
S: 0.748 0.000 0.258

---

Entry 16:
PuTa2S6 | PBE | relaxed

Output
Magnetization, μB/f.u.: 6.05
Formation energy from raw total energies, meV per atom: -1003

abc: 6.680 6.680 8.644
angles: 122.83 122.83 41.35
Sites, in units of the cell vectors:
Pu: 0.000 0.000 0.000
Ta: 0.188 0.188 0.627
Ta: 0.812 0.812 0.373
S: 0.031 0.031 0.698
S: 0.265 0.265 0.401
S: 0.356 0.356 0.950
S: 0.644 0.644 0.050
S: 0.735 0.735 0.599
S: 0.969 0.969 0.302

---

Entry 17:
PuTaS2 | PBE | relaxed

Output
Magnetization, μB/f.u.: 6.36
Formation energy from raw total energies, meV per atom: -729

abc: 9.074 9.074 9.074
angles: 21.11 21.11 21.11
Sites, in units of the cell vectors:
Pu: 0.000 0.000 0.000
Ta: 0.500 0.500 0.500
S: 0.107 0.107 0.107
S: 0.893 0.893 0.893

---

Entry 18:
PuTaS6 | PBE | relaxed

Output
Magnetization, μB/f.u.: 1.24
Formation energy from raw total energies, meV per atom: -509

abc: 7.014 7.014 7.014
angles: 60.00 60.00 60.00
Sites, in units of the cell vectors:
Pu: 0.000 0.000 0.000
Ta: 0.500 0.500 0.500
S: 0.257 0.257 0.743
S: 0.257 0.743 0.257
S: 0.257 0.743 0.743
S: 0.743 0.257 0.257
S: 0.743 0.257 0.743
S: 0.743 0.743 0.257

---

Entry 19:
PuTa4S8 | PBE | relaxed

Output
Magnetization, μB/f.u.: 5.55
Formation energy from raw total energies, meV per atom: -1022

abc: 7.289 7.289 7.289
angles: 60.00 60.00 60.00
Sites, in units of the cell vectors:
Pu: 0.000 0.000 0.000
Ta: 0.186 0.605 0.605
Ta: 0.605 0.186 0.605
Ta: 0.605 0.605 0.186
Ta: 0.605 0.605 0.605
S: 0.370 0.370 0.370
S: 0.370 0.370 0.889
S: 0.370 0.889 0.370
S: 0.436 0.855 0.855
S: 0.855 0.436 0.855
S: 0.855 0.855 0.436
S: 0.855 0.855 0.855
S: 0.889 0.370 0.370

---

Entry 20:
PuTaS4 | PBE | relaxed

Output
Magnetization, μB/f.u.: 5.00
Formation energy from raw total energies, meV per atom: -1102

abc: 7.442 5.925 7.158
angles: 90.00 116.61 90.00
Sites, in units of the cell vectors:
Pu: 0.000 0.000 0.000
Pu: 0.000 0.500 0.500
Ta: 0.500 0.000 0.500
Ta: 0.500 0.500 0.000
S: 0.197 0.216 0.363
S: 0.197 0.284 0.863
S: 0.357 0.736 0.684
S: 0.357 0.764 0.184
S: 0.643 0.236 0.816
S: 0.643 0.264 0.316
S: 0.803 0.716 0.137
S: 0.803 0.784 0.637